Density functional theory data (GGA-PBE) for crystalline KTe2Rh at its relaxed geometry. Values from VASP.

Geometry as Quantum ESPRESSO input:
```
&SYSTEM
  ibrav = 0, nat = 8, ntyp = 3
/
ATOMIC_SPECIES
K 39.10 K.upf
Te 127.60 Te.upf
Rh 102.91 Rh.upf
CELL_PARAMETERS angstrom
-4.105 4.105 3.795
4.105 -4.105 3.795
4.105 4.105 -3.795
ATOMIC_POSITIONS angstrom
K 0.000 0.000 0.000
K 0.000 4.105 1.897
Te 2.053 -1.205 2.846
Te 2.900 2.053 0.949
Te 2.053 5.311 -0.949
Te 1.205 2.053 4.744
Rh 4.105 0.000 1.897
Rh 0.000 0.000 3.795
```

The density of states at the Fermi level comes out at 1.2 states/eV per cell. As for the space group: No. 122. Its formation energy without anion corrections is -1.84 eV/f.u.